1.
# BaMn2TeAs PBE relaxed
data_BaMn2TeAs
_chemical_formula_sum 'Ba1 Mn2 Te1 As1'
_space_group_name_H-M_alt 'P 1'
_space_group_IT_number 1
_cell_length_a 4.9794
_cell_length_b 4.9794
_cell_length_c 5.9885
_cell_angle_alpha 90.00
_cell_angle_beta 90.00
_cell_angle_gamma 90.00
loop_
_space_group_symop_operation_xyz
'x,y,z'
loop_
_atom_site_label
_atom_site_fract_x
_atom_site_fract_y
_atom_site_fract_z
_atom_site_occupancy
Ba1 0.0000 0.0000 0.0000 1
Mn1 0.0000 0.5000 0.5000 1
Mn2 0.5000 0.0000 0.5000 1
Te1 0.5000 0.5000 0.5000 1
As1 0.5000 0.5000 0.0000 1
# SG = P4/mmm (123)
# DOS(E_F) = 0.81 states/eV/atom
# uncorrected formation energy = 0.34 eV/atom
# total magnetization = 7.406 Bohr magnetons per cell
# calculated volume = 29.7 Å³/atom



2.
# BaZrMn2As PBE relaxed
data_BaZrMn2As
_chemical_formula_sum 'Ba1 Zr1 Mn2 As1'
_space_group_name_H-M_alt 'P 1'
_space_group_IT_number 1
_cell_length_a 4.8732
_cell_length_b 4.8732
_cell_length_c 6.2870
_cell_angle_alpha 90.00
_cell_angle_beta 90.00
_cell_angle_gamma 90.00
loop_
_space_group_symop_operation_xyz
'x,y,z'
loop_
_atom_site_label
_atom_site_fract_x
_atom_site_fract_y
_atom_site_fract_z
_atom_site_occupancy
Ba1 0.0000 0.0000 0.0000 1
Zr1 0.0000 0.0000 0.5000 1
Mn1 0.0000 0.5000 0.5000 1
Mn2 0.5000 0.0000 0.5000 1
As1 0.5000 0.5000 0.0000 1
# SG = P4/mmm (123)
# DOS(E_F) = 0.84 states/eV/atom
# total magnetization = 5.669 Bohr magnetons per cell
# formation enthalpy at 0 K = 103.5 kJ/mol of atoms
# calculated volume = 29.9 Å³/atom



3.
# Ba2MoAs PBE relaxed
data_Ba2MoAs
_chemical_formula_sum 'Ba2 Mo1 As1'
_space_group_name_H-M_alt 'P 1'
_space_group_IT_number 1
_cell_length_a 5.4289
_cell_length_b 5.4289
_cell_length_c 5.4289
_cell_angle_alpha 60.00
_cell_angle_beta 60.00
_cell_angle_gamma 60.00
loop_
_space_group_symop_operation_xyz
'x,y,z'
loop_
_atom_site_label
_atom_site_fract_x
_atom_site_fract_y
_atom_site_fract_z
_atom_site_occupancy
Ba1 0.0000 0.0000 0.0000 1
Ba2 0.2500 0.2500 0.2500 1
Mo1 0.5000 0.5000 0.5000 1
As1 0.7500 0.7500 0.7500 1
# SG = F-43m (216)
# DOS(E_F) = 0.67 states/eV/atom
# total magnetization = 3.116 Bohr magnetons per cell
# formation enthalpy at 0 K = 53.6 kJ/mol of atoms
# calculated volume = 28.3 Å³/atom



4.
# BaMoAs2 PBE relaxed
data_BaMoAs2
_chemical_formula_sum 'Ba1 Mo1 As2'
_space_group_name_H-M_alt 'P 1'
_space_group_IT_number 1
_cell_length_a 6.0662
_cell_length_b 6.0662
_cell_length_c 6.0662
_cell_angle_alpha 137.77
_cell_angle_beta 137.77
_cell_angle_gamma 61.25
loop_
_space_group_symop_operation_xyz
'x,y,z'
loop_
_atom_site_label
_atom_site_fract_x
_atom_site_fract_y
_atom_site_fract_z
_atom_site_occupancy
Ba1 0.0000 0.0000 0.0000 1
Mo1 0.2500 0.7500 0.5000 1
As1 0.5000 0.5000 0.0000 1
As2 0.7500 0.2500 0.5000 1
# SG = I-4m2 (119)
# offset from the most stable computed form = 0.823 eV/atom
# DOS(E_F) = 0.59 states/eV/atom
# total magnetization = 2.963 Bohr magnetons per cell
# formation enthalpy at 0 K = 44.7 kJ/mol of atoms
# calculated volume = 24.9 Å³/atom



5.
# BaMo3As PBE relaxed
data_BaMo3As
_chemical_formula_sum 'Ba1 Mo3 As1'
_space_group_name_H-M_alt 'P 1'
_space_group_IT_number 1
_cell_length_a 4.8442
_cell_length_b 4.8442
_cell_length_c 4.8442
_cell_angle_alpha 90.00
_cell_angle_beta 90.00
_cell_angle_gamma 90.00
loop_
_space_group_symop_operation_xyz
'x,y,z'
loop_
_atom_site_label
_atom_site_fract_x
_atom_site_fract_y
_atom_site_fract_z
_atom_site_occupancy
Ba1 0.0000 0.0000 0.0000 1
Mo1 0.0000 0.5000 0.5000 1
Mo2 0.5000 0.0000 0.5000 1
Mo3 0.5000 0.5000 0.0000 1
As1 0.5000 0.5000 0.5000 1
# SG = Pm-3m (221)
# offset from the most stable computed form = 0.000 eV/atom
# DOS(E_F) = 2.62 states/eV/atom
# total magnetization = 0.000 Bohr magnetons per cell
# formation enthalpy at 0 K = 108.9 kJ/mol of atoms
# calculated volume = 22.7 Å³/atom



6.
# Ba2MoAs PBE relaxed
data_Ba2MoAs
_chemical_formula_sum 'Ba4 Mo2 As2'
_space_group_name_H-M_alt 'P 1'
_space_group_IT_number 1
_cell_length_a 8.8958
_cell_length_b 8.8958
_cell_length_c 8.8958
_cell_angle_alpha 94.26
_cell_angle_beta 94.26
_cell_angle_gamma 148.35
loop_
_space_group_symop_operation_xyz
'x,y,z'
loop_
_atom_site_label
_atom_site_fract_x
_atom_site_fract_y
_atom_site_fract_z
_atom_site_occupancy
Ba1 0.3750 0.0426 0.1676 1
Ba2 0.7926 0.6250 0.6676 1
Ba3 0.8750 0.2074 0.8324 1
Ba4 0.9574 0.1250 0.3324 1
Mo1 0.2500 0.7500 0.5000 1
Mo2 0.5000 0.5000 0.0000 1
As1 0.0000 0.0000 0.0000 1
As2 0.7500 0.2500 0.5000 1
# SG = I-42d (122)
# DOS(E_F) = 1.30 states/eV/atom
# total magnetization = 3.998 Bohr magnetons per cell
# formation enthalpy at 0 K = 20.7 kJ/mol of atoms
# calculated volume = 44.4 Å³/atom



7.
# Ba2MoAs PBE relaxed
data_Ba2MoAs
_chemical_formula_sum 'Ba2 Mo1 As1'
_space_group_name_H-M_alt 'P 1'
_space_group_IT_number 1
_cell_length_a 4.7582
_cell_length_b 4.7582
_cell_length_c 9.2192
_cell_angle_alpha 104.90
_cell_angle_beta 104.90
_cell_angle_gamma 59.96
loop_
_space_group_symop_operation_xyz
'x,y,z'
loop_
_atom_site_label
_atom_site_fract_x
_atom_site_fract_y
_atom_site_fract_z
_atom_site_occupancy
Ba1 0.2330 0.2330 0.1995 1
Ba2 0.7670 0.7670 0.8005 1
Mo1 0.0000 0.0000 0.5000 1
As1 0.5000 0.5000 0.0000 1
# SG = C2/m (12)
# DOS(E_F) = 0.09 states/eV/atom
# total magnetization = 5.027 Bohr magnetons per cell
# formation enthalpy at 0 K = 45.0 kJ/mol of atoms
# calculated volume = 43.1 Å³/atom



8.
# BaMoAs2 PBE relaxed
data_BaMoAs2
_chemical_formula_sum 'Ba1 Mo1 As2'
_space_group_name_H-M_alt 'P 1'
_space_group_IT_number 1
_cell_length_a 3.9081
_cell_length_b 3.9081
_cell_length_c 7.6300
_cell_angle_alpha 104.70
_cell_angle_beta 104.70
_cell_angle_gamma 59.69
loop_
_space_group_symop_operation_xyz
'x,y,z'
loop_
_atom_site_label
_atom_site_fract_x
_atom_site_fract_y
_atom_site_fract_z
_atom_site_occupancy
Ba1 0.0000 0.0000 0.0000 1
Mo1 0.5000 0.5000 0.5000 1
As1 0.2289 0.2289 0.6869 1
As2 0.7711 0.7711 0.3131 1
# SG = C2/m (12)
# offset from the most stable computed form = 0.000 eV/atom
# DOS(E_F) = 0.56 states/eV/atom
# total magnetization = 0.108 Bohr magnetons per cell
# formation enthalpy at 0 K = -34.8 kJ/mol of atoms
# calculated volume = 24.1 Å³/atom



9.
# Ba2MoAs PBE relaxed
data_Ba2MoAs
_chemical_formula_sum 'Ba2 Mo1 As1'
_space_group_name_H-M_alt 'P 1'
_space_group_IT_number 1
_cell_length_a 6.3762
_cell_length_b 6.3762
_cell_length_c 5.7246
_cell_angle_alpha 110.25
_cell_angle_beta 110.25
_cell_angle_gamma 35.42
loop_
_space_group_symop_operation_xyz
'x,y,z'
loop_
_atom_site_label
_atom_site_fract_x
_atom_site_fract_y
_atom_site_fract_z
_atom_site_occupancy
Ba1 0.0000 0.0000 0.0000 1
Ba2 0.1915 0.1915 0.6449 1
Mo1 0.3867 0.3867 0.3847 1
As1 0.7582 0.7582 0.1867 1
# SG = Cm (8)
# DOS(E_F) = 0.93 states/eV/atom
# total magnetization = 1.426 Bohr magnetons per cell
# formation enthalpy at 0 K = 9.7 kJ/mol of atoms
# calculated volume = 31.4 Å³/atom



10.
# BaMoAs2 PBE relaxed
data_BaMoAs2
_chemical_formula_sum 'Ba1 Mo1 As2'
_space_group_name_H-M_alt 'P 1'
_space_group_IT_number 1
_cell_length_a 4.3835
_cell_length_b 4.3835
_cell_length_c 7.3909
_cell_angle_alpha 103.00
_cell_angle_beta 103.00
_cell_angle_gamma 48.79
loop_
_space_group_symop_operation_xyz
'x,y,z'
loop_
_atom_site_label
_atom_site_fract_x
_atom_site_fract_y
_atom_site_fract_z
_atom_site_occupancy
Ba1 0.0000 0.0000 0.0000 1
Mo1 0.2847 0.2847 0.5456 1
As1 0.6084 0.6084 0.6721 1
As2 0.7659 0.7659 0.3054 1
# SG = Cm (8)
# offset from the most stable computed form = 0.068 eV/atom
# DOS(E_F) = 0.71 states/eV/atom
# total magnetization = 0.000 Bohr magnetons per cell
# formation enthalpy at 0 K = -28.2 kJ/mol of atoms
# calculated volume = 25.9 Å³/atom



11.
# BaMoAs2 PBE relaxed
data_BaMoAs2
_chemical_formula_sum 'Ba1 Mo1 As2'
_space_group_name_H-M_alt 'P 1'
_space_group_IT_number 1
_cell_length_a 5.5337
_cell_length_b 5.5337
_cell_length_c 5.5337
_cell_angle_alpha 134.78
_cell_angle_beta 108.92
_cell_angle_gamma 88.36
loop_
_space_group_symop_operation_xyz
'x,y,z'
loop_
_atom_site_label
_atom_site_fract_x
_atom_site_fract_y
_atom_site_fract_z
_atom_site_occupancy
Ba1 0.0000 0.0000 0.0000 1
Mo1 0.5000 0.5000 0.0000 1
As1 0.3158 0.8158 0.5000 1
As2 0.6842 0.1842 0.5000 1
# SG = Immm (71)
# offset from the most stable computed form = 0.291 eV/atom
# DOS(E_F) = 0.50 states/eV/atom
# total magnetization = 2.085 Bohr magnetons per cell
# formation enthalpy at 0 K = -6.7 kJ/mol of atoms
# calculated volume = 27.2 Å³/atom



12.
# Ba2MoAs PBE relaxed
data_Ba2MoAs
_chemical_formula_sum 'Ba2 Mo1 As1'
_space_group_name_H-M_alt 'P 1'
_space_group_IT_number 1
_cell_length_a 3.6201
_cell_length_b 3.6201
_cell_length_c 9.6608
_cell_angle_alpha 90.00
_cell_angle_beta 90.00
_cell_angle_gamma 90.00
loop_
_space_group_symop_operation_xyz
'x,y,z'
loop_
_atom_site_label
_atom_site_fract_x
_atom_site_fract_y
_atom_site_fract_z
_atom_site_occupancy
Ba1 0.0000 0.0000 0.0000 1
Ba2 0.5000 0.5000 0.4390 1
Mo1 0.0000 0.0000 0.6850 1
As1 0.5000 0.5000 0.7762 1
# SG = P4mm (99)
# DOS(E_F) = 0.98 states/eV/atom
# total magnetization = 0.002 Bohr magnetons per cell
# formation enthalpy at 0 K = 7.6 kJ/mol of atoms
# calculated volume = 31.7 Å³/atom



13.
# BaMoAs2 PBE relaxed
data_BaMoAs2
_chemical_formula_sum 'Ba1 Mo1 As2'
_space_group_name_H-M_alt 'P 1'
_space_group_IT_number 1
_cell_length_a 4.3942
_cell_length_b 6.9955
_cell_length_c 6.9955
_cell_angle_alpha 33.75
_cell_angle_beta 90.00
_cell_angle_gamma 90.00
loop_
_space_group_symop_operation_xyz
'x,y,z'
loop_
_atom_site_label
_atom_site_fract_x
_atom_site_fract_y
_atom_site_fract_z
_atom_site_occupancy
Ba1 0.0000 0.0000 0.0000 1
Mo1 0.5000 0.7736 0.7736 1
As1 0.0000 0.6949 0.6949 1
As2 0.5000 0.3789 0.3789 1
# SG = Amm2 (38)
# offset from the most stable computed form = 0.101 eV/atom
# DOS(E_F) = 0.66 states/eV/atom
# total magnetization = 0.644 Bohr magnetons per cell
# formation enthalpy at 0 K = -25.0 kJ/mol of atoms
# calculated volume = 29.9 Å³/atom



14.
# Ba4MoAs PBE relaxed
data_Ba4MoAs
_chemical_formula_sum 'Ba4 Mo1 As1'
_space_group_name_H-M_alt 'P 1'
_space_group_IT_number 1
_cell_length_a 7.0415
_cell_length_b 7.0415
_cell_length_c 7.0415
_cell_angle_alpha 60.00
_cell_angle_beta 60.00
_cell_angle_gamma 60.00
loop_
_space_group_symop_operation_xyz
'x,y,z'
loop_
_atom_site_label
_atom_site_fract_x
_atom_site_fract_y
_atom_site_fract_z
_atom_site_occupancy
Ba1 0.3760 0.3760 0.3760 1
Ba2 0.3760 0.3760 0.8722 1
Ba3 0.3760 0.8722 0.3760 1
Ba4 0.8722 0.3760 0.3760 1
Mo1 0.0000 0.0000 0.0000 1
As1 0.7500 0.7500 0.7500 1
# SG = F-43m (216)
# DOS(E_F) = 0.98 states/eV/atom
# total magnetization = 3.332 Bohr magnetons per cell
# formation enthalpy at 0 K = 92.1 kJ/mol of atoms
# calculated volume = 41.1 Å³/atom



15.
# Ba2MoAs PBE relaxed
data_Ba2MoAs
_chemical_formula_sum 'Ba2 Mo1 As1'
_space_group_name_H-M_alt 'P 1'
_space_group_IT_number 1
_cell_length_a 4.2183
_cell_length_b 4.2183
_cell_length_c 7.4385
_cell_angle_alpha 90.00
_cell_angle_beta 90.00
_cell_angle_gamma 90.00
loop_
_space_group_symop_operation_xyz
'x,y,z'
loop_
_atom_site_label
_atom_site_fract_x
_atom_site_fract_y
_atom_site_fract_z
_atom_site_occupancy
Ba1 0.0000 0.0000 0.2257 1
Ba2 0.0000 0.0000 0.7743 1
Mo1 0.5000 0.5000 0.5000 1
As1 0.5000 0.5000 0.0000 1
# SG = P4/mmm (123)
# DOS(E_F) = 0.80 states/eV/atom
# total magnetization = 4.359 Bohr magnetons per cell
# formation enthalpy at 0 K = 36.6 kJ/mol of atoms
# calculated volume = 33.1 Å³/atom



16.
# BaMoAs2 PBE relaxed
data_BaMoAs2
_chemical_formula_sum 'Ba1 Mo1 As2'
_space_group_name_H-M_alt 'P 1'
_space_group_IT_number 1
_cell_length_a 7.9371
_cell_length_b 7.9371
_cell_length_c 7.9371
_cell_angle_alpha 155.14
_cell_angle_beta 152.93
_cell_angle_gamma 37.09
loop_
_space_group_symop_operation_xyz
'x,y,z'
loop_
_atom_site_label
_atom_site_fract_x
_atom_site_fract_y
_atom_site_fract_z
_atom_site_occupancy
Ba1 0.0000 0.0000 0.0000 1
Mo1 0.2472 0.7472 0.5000 1
As1 0.3679 0.3679 0.0000 1
As2 0.6818 0.1818 0.5000 1
# SG = Imm2 (44)
# offset from the most stable computed form = 0.079 eV/atom
# DOS(E_F) = 0.59 states/eV/atom
# total magnetization = 0.000 Bohr magnetons per cell
# formation enthalpy at 0 K = -27.2 kJ/mol of atoms
# calculated volume = 23.9 Å³/atom



17.
# BaMoAs2 PBE relaxed
data_BaMoAs2
_chemical_formula_sum 'Ba1 Mo1 As2'
_space_group_name_H-M_alt 'P 1'
_space_group_IT_number 1
_cell_length_a 5.0424
_cell_length_b 5.0424
_cell_length_c 5.0424
_cell_angle_alpha 60.00
_cell_angle_beta 60.00
_cell_angle_gamma 60.00
loop_
_space_group_symop_operation_xyz
'x,y,z'
loop_
_atom_site_label
_atom_site_fract_x
_atom_site_fract_y
_atom_site_fract_z
_atom_site_occupancy
Ba1 0.0000 0.0000 0.0000 1
Mo1 0.5000 0.5000 0.5000 1
As1 0.2500 0.2500 0.2500 1
As2 0.7500 0.7500 0.7500 1
# SG = Fm-3m (225)
# offset from the most stable computed form = 0.530 eV/atom
# DOS(E_F) = 1.07 states/eV/atom
# total magnetization = 1.813 Bohr magnetons per cell
# formation enthalpy at 0 K = 16.3 kJ/mol of atoms
# calculated volume = 22.7 Å³/atom



18.
# BaMoAs2 PBE relaxed
data_BaMoAs2
_chemical_formula_sum 'Ba2 Mo2 As4'
_space_group_name_H-M_alt 'P 1'
_space_group_IT_number 1
_cell_length_a 8.6179
_cell_length_b 8.6179
_cell_length_c 8.6179
_cell_angle_alpha 141.32
_cell_angle_beta 141.32
_cell_angle_gamma 55.85
loop_
_space_group_symop_operation_xyz
'x,y,z'
loop_
_atom_site_label
_atom_site_fract_x
_atom_site_fract_y
_atom_site_fract_z
_atom_site_occupancy
Ba1 0.3750 0.6250 0.7500 1
Ba2 0.6250 0.3750 0.2500 1
Mo1 0.1250 0.8750 0.2500 1
Mo2 0.8750 0.1250 0.7500 1
As1 0.0000 0.0000 0.0000 1
As2 0.0000 0.0000 0.5000 1
As3 0.0000 0.5000 0.0000 1
As4 0.5000 0.0000 0.5000 1
# SG = I4_1/amd (141)
# offset from the most stable computed form = 0.042 eV/atom
# DOS(E_F) = 0.13 states/eV/atom
# total magnetization = 0.000 Bohr magnetons per cell
# formation enthalpy at 0 K = -30.7 kJ/mol of atoms
# calculated volume = 31.0 Å³/atom



19.
# BaMoAs2 PBE relaxed
data_BaMoAs2
_chemical_formula_sum 'Ba1 Mo1 As2'
_space_group_name_H-M_alt 'P 1'
_space_group_IT_number 1
_cell_length_a 3.3193
_cell_length_b 3.3193
_cell_length_c 7.7533
_cell_angle_alpha 90.00
_cell_angle_beta 90.00
_cell_angle_gamma 90.00
loop_
_space_group_symop_operation_xyz
'x,y,z'
loop_
_atom_site_label
_atom_site_fract_x
_atom_site_fract_y
_atom_site_fract_z
_atom_site_occupancy
Ba1 0.0000 0.0000 0.0000 1
Mo1 0.0000 0.0000 0.5000 1
As1 0.5000 0.5000 0.3144 1
As2 0.5000 0.5000 0.6856 1
# SG = P4/mmm (123)
# offset from the most stable computed form = 0.034 eV/atom
# DOS(E_F) = 0.31 states/eV/atom
# total magnetization = 0.000 Bohr magnetons per cell
# formation enthalpy at 0 K = -31.5 kJ/mol of atoms
# calculated volume = 21.4 Å³/atom



20.
# Ba2MoAs PBE relaxed
data_Ba2MoAs
_chemical_formula_sum 'Ba2 Mo1 As1'
_space_group_name_H-M_alt 'P 1'
_space_group_IT_number 1
_cell_length_a 4.4868
_cell_length_b 6.4933
_cell_length_c 6.4933
_cell_angle_alpha 45.18
_cell_angle_beta 90.00
_cell_angle_gamma 90.00
loop_
_space_group_symop_operation_xyz
'x,y,z'
loop_
_atom_site_label
_atom_site_fract_x
_atom_site_fract_y
_atom_site_fract_z
_atom_site_occupancy
Ba1 0.0000 0.0000 0.0000 1
Ba2 0.5000 0.2859 0.2859 1
Mo1 0.0000 0.6850 0.6850 1
As1 0.5000 0.5900 0.5900 1
# SG = Amm2 (38)
# DOS(E_F) = 1.07 states/eV/atom
# total magnetization = 1.132 Bohr magnetons per cell
# formation enthalpy at 0 K = 3.0 kJ/mol of atoms
# calculated volume = 33.5 Å³/atom